Li3Er5S8: optimized geometry, PBE.

The structure in POSCAR format:
```
Li3Er5S8
1.0
3.845 2.220 6.240
-3.845 2.220 6.240
0.000 -4.439 6.240
Li Er S
3 5 8
Direct
0.000 0.500 0.500
0.500 0.000 0.500
0.500 0.500 0.000
0.000 0.000 0.000
0.000 0.000 0.500
0.000 0.500 0.000
0.500 0.000 0.000
0.500 0.500 0.500
0.250 0.250 0.250
0.250 0.250 0.746
0.250 0.746 0.250
0.254 0.750 0.750
0.746 0.250 0.250
0.750 0.254 0.750
0.750 0.750 0.254
0.750 0.750 0.750
```

Size of the total moment, μB/f.u.: 0.000
Symmetry: R-3m
Electronic total energy, eV for the cell shown: -91.88